Entry 1:
# PBE RhINO2, optimized geometry
data_RhINO2
_chemical_formula_sum 'Rh1 I1 N1 O2'
_space_group_name_H-M_alt 'P 4/m m m'
_space_group_IT_number 123
_space_group_name_Hall '-P 4 2'
_cell_length_a 3.9791
_cell_length_b 3.9791
_cell_length_c 4.4868
_cell_angle_alpha 90.00
_cell_angle_beta 90.00
_cell_angle_gamma 90.00
loop_
_atom_site_label
_atom_site_fract_x
_atom_site_fract_y
_atom_site_fract_z
_atom_site_occupancy
Rh1 0.0000 0.0000 0.0000 1
I1 0.5000 0.5000 0.5000 1
N1 0.5000 0.5000 0.0000 1
O1 0.0000 0.5000 0.5000 1
# Formation energy without anion corrections ... 1.25 eV per atom
# Total moment ... 0.410 μB/atom

***

Entry 2:
# PBE NaLa5Hg4, optimized geometry
data_NaLa5Hg4
_chemical_formula_sum 'Na1 La5 Hg4'
_space_group_name_H-M_alt 'P 4/m m m'
_space_group_IT_number 123
_space_group_name_Hall '-P 4 2'
_cell_length_a 3.9363
_cell_length_b 3.9363
_cell_length_c 20.2277
_cell_angle_alpha 90.00
_cell_angle_beta 90.00
_cell_angle_gamma 90.00
loop_
_atom_site_label
_atom_site_fract_x
_atom_site_fract_y
_atom_site_fract_z
_atom_site_occupancy
Na1 0.0000 0.0000 0.0000 1
La1 0.5000 0.5000 0.1231 1
La2 0.5000 0.5000 0.3095 1
La3 0.5000 0.5000 0.5000 1
Hg1 0.0000 0.0000 0.2100 1
Hg2 0.0000 0.0000 0.4040 1
# Total moment ... 0.187 μB/atom
# E_form ... -355 meV per atom